(1)
Material: AlHg2Pb
Method: DFT, PBE
State: relaxed

Computed properties:
Crystal system: tetragonal
Calculated formation energy (meV per atom): 119
Calculated volume (Å³ per atom): 24.5
SG: P4/mmm (123)
Density of states at the Fermi level (states/eV per cell): 1.6

Cell lengths 3.6162, 3.6147, 7.5103 Å; angles 90.00, 90.00, 90.00 degrees
Last column: nearest neighbours and their distance in Å.
Fractional coordinates of all 4 atoms:
Al (0.5000, 0.5000, 0.7500)  8 Hg 3.02
Hg (0.0000, 0.0000, 0.9637)  4 Al 3.02, 1 Hg 3.21, 4 Pb 3.34
Hg (0.0000, 0.0000, 0.5363)  4 Al 3.02, 1 Hg 3.21, 4 Pb 3.34
Pb (0.5000, 0.5000, 0.2500)  8 Hg 3.34, 4 Pb 3.61-3.62

***

(2)
Material: Al2HgPdPb
Method: DFT, PBE
State: relaxed

Computed properties:
Crystal system: tetragonal
Calculated formation energy (meV per atom): 1058
Calculated volume (Å³ per atom): 31.9
SG: P4/mmm (123)
Density of states at the Fermi level (states/eV per cell): 2.4

Cell lengths 5.3262, 5.6165, 5.3262 Å; angles 90.00, 90.00, 90.00 degrees
Last column: nearest neighbours and their distance in Å.
Fractional coordinates of all 5 atoms:
Hg (0.0000, 0.5000, 0.0000)  2 Pb 2.81
Pb (0.0000, 0.0000, 0.0000)  4 Al 2.66, 2 Hg 2.81
Pd (0.5000, 0.5000, 0.5000)  4 Hg 3.77, 8 Al 3.87
Al (0.5000, 0.0000, 0.0000)  2 Pb 2.66
Al (0.0000, 0.0000, 0.5000)  2 Pb 2.66

***

(3)
Material: RbAlHg2Pb
Method: DFT, PBE
State: relaxed

Computed properties:
Crystal system: tetragonal
Calculated formation energy (meV per atom): 18
Calculated volume (Å³ per atom): 33.3
SG: P4/mmm (123)
Density of states at the Fermi level (states/eV per cell): 3.6

Cell lengths 5.4536, 5.4536, 5.5970 Å; angles 90.00, 90.00, 90.00 degrees
Last column: nearest neighbours and their distance in Å.
Fractional coordinates of all 5 atoms:
Hg (0.0000, 0.5000, 0.0000)  2 Al 2.73
Hg (0.5000, 0.0000, 0.0000)  2 Al 2.73
Rb (0.5000, 0.5000, 0.5000)  4 Pb 3.86, 8 Hg 3.91
Al (0.0000, 0.0000, 0.0000)  4 Hg 2.73, 2 Pb 2.80
Pb (0.0000, 0.0000, 0.5000)  2 Al 2.80

***

(4)
Material: Al2HgPbS
Method: DFT, PBE
State: relaxed

Computed properties:
Crystal system: tetragonal
Calculated volume (Å³ per atom): 33.1
Total DFT energy (no corrections) (eV/atom): -2.47
SG: P4/mmm (123)
Density of states at the Fermi level (states/eV per cell): 1.6

Cell lengths 5.5603, 5.3541, 5.5603 Å; angles 90.00, 90.00, 90.00 degrees
Last column: nearest neighbours and their distance in Å.
Fractional coordinates of all 5 atoms:
Al (0.0000, 0.0000, 0.5000)  2 Pb 2.78
Al (0.5000, 0.0000, 0.0000)  2 Pb 2.78
Hg (0.5000, 0.5000, 0.5000)  8 Al 3.86, 4 S 3.93
S (0.0000, 0.5000, 0.0000)  2 Pb 2.68
Pb (0.0000, 0.0000, 0.0000)  2 S 2.68, 4 Al 2.78

***

(5)
Material: Al2HgSbPb
Method: DFT, PBE
State: relaxed

Computed properties:
Crystal system: tetragonal
Calculated volume (Å³ per atom): 29.4
Total DFT energy (no corrections) (eV/atom): -2.61
SG: P4/mmm (123)
Density of states at the Fermi level (states/eV per cell): 2.1

Cell lengths 5.0073, 5.8637, 5.0073 Å; angles 90.00, 90.00, 90.00 degrees
Last column: nearest neighbours and their distance in Å.
Fractional coordinates of all 5 atoms:
Sb (0.5000, 0.5000, 0.5000)  4 Pb 3.54, 8 Al 3.86
Al (0.5000, 0.0000, 0.0000)  2 Hg 2.50
Al (0.0000, 0.0000, 0.5000)  2 Hg 2.50
Hg (0.0000, 0.0000, 0.0000)  4 Al 2.50
Pb (0.0000, 0.5000, 0.0000)  2 Hg 2.93

***

(6)
Material: AlSnHgPb
Method: DFT, PBE
State: relaxed

Computed properties:
Crystal system: cubic
Calculated formation energy (meV per atom): 169
Calculated volume (Å³ per atom): 26.0
SG: F-43m (216)
Density of states at the Fermi level (states/eV per cell): 1.5

Cell lengths 5.2765, 5.2765, 5.2765 Å; angles 60.00, 60.00, 60.00 degrees
Last column: nearest neighbours and their distance in Å.
Fractional coordinates of all 4 atoms:
Sn (0.7500, 0.7500, 0.7500)  4 Pb 3.23, 4 Al 3.23
Al (0.5000, 0.5000, 0.5000)  4 Hg 3.23, 4 Sn 3.23
Hg (0.2500, 0.2500, 0.2500)  4 Pb 3.23, 4 Al 3.23
Pb (0.0000, 0.0000, 0.0000)  4 Hg 3.23, 4 Sn 3.23

***

(7)
Material: SrAlHg2Pb
Method: DFT, PBE
State: relaxed

Computed properties:
Crystal system: tetragonal
Calculated formation energy (meV per atom): -118
Calculated volume (Å³ per atom): 30.7
SG: P4/mmm (123)
Density of states at the Fermi level (states/eV per cell): 2.2

Cell lengths 5.2393, 5.2393, 5.5905 Å; angles 90.00, 90.00, 90.00 degrees
Last column: nearest neighbours and their distance in Å.
Fractional coordinates of all 5 atoms:
Sr (0.5000, 0.5000, 0.5000)  4 Pb 3.70, 8 Hg 3.83
Al (0.0000, 0.0000, 0.0000)  4 Hg 2.62, 2 Pb 2.80
Hg (0.5000, 0.0000, 0.0000)  2 Al 2.62
Hg (0.0000, 0.5000, 0.0000)  2 Al 2.62
Pb (0.0000, 0.0000, 0.5000)  2 Al 2.80

***

(8)
Material: SrAlHgPb
Method: DFT, PBE
State: relaxed

Computed properties:
Crystal system: cubic
Calculated formation energy (meV per atom): -165
Calculated volume (Å³ per atom): 27.7
SG: F-43m (216)
Density of states at the Fermi level (states/eV per cell): 3.4

Cell lengths 5.3938, 5.3938, 5.3938 Å; angles 60.00, 60.00, 60.00 degrees
Last column: nearest neighbours and their distance in Å.
Fractional coordinates of all 4 atoms:
Al (0.7500, 0.7500, 0.7500)  4 Pb 3.30, 4 Hg 3.30
Hg (0.0000, 0.0000, 0.0000)  4 Al 3.30, 4 Sr 3.30
Pb (0.5000, 0.5000, 0.5000)  4 Sr 3.30, 4 Al 3.30
Sr (0.2500, 0.2500, 0.2500)  4 Hg 3.30, 4 Pb 3.30

***

(9)
Material: AlTlHg2Pb
Method: DFT, PBE
State: relaxed

Computed properties:
Crystal system: tetragonal
Calculated formation energy (meV per atom): 169
Calculated volume (Å³ per atom): 30.9
SG: P4/mmm (123)
Density of states at the Fermi level (states/eV per cell): 2.1

Cell lengths 5.2470, 5.2470, 5.6063 Å; angles 90.00, 90.00, 90.00 degrees
Last column: nearest neighbours and their distance in Å.
Fractional coordinates of all 5 atoms:
Pb (0.0000, 0.0000, 0.5000)  2 Al 2.80
Hg (0.5000, 0.0000, 0.0000)  2 Al 2.62
Hg (0.0000, 0.5000, 0.0000)  2 Al 2.62
Al (0.0000, 0.0000, 0.0000)  4 Hg 2.62, 2 Pb 2.80
Tl (0.5000, 0.5000, 0.5000)  4 Pb 3.71, 8 Hg 3.84

***

(10)
Material: AlHgPb2W
Method: DFT, PBE
State: relaxed

Computed properties:
Crystal system: tetragonal
Calculated formation energy (meV per atom): 874
Calculated volume (Å³ per atom): 31.2
SG: P4/mmm (123)
Density of states at the Fermi level (states/eV per cell): 1.9

Cell lengths 5.3746, 5.4029, 5.3746 Å; angles 90.00, 90.00, 90.00 degrees
Last column: nearest neighbours and their distance in Å.
Fractional coordinates of all 5 atoms:
Pb (0.5000, 0.0000, 0.0000)  2 W 2.69
Pb (0.0000, 0.0000, 0.5000)  2 W 2.69
Al (0.5000, 0.5000, 0.5000)  4 Hg 3.80, 8 Pb 3.81
Hg (0.0000, 0.5000, 0.0000)  2 W 2.70
W (0.0000, 0.0000, 0.0000)  4 Pb 2.69, 2 Hg 2.70

***

> Look up the density of states at the Fermi level of the second one.

2.4 states/eV per cell